A geometry-optimized Ac3TbS6 structure. Source: Alexandria, functional PBE.

Energy relative to the elements, uncorrected = -2.114 eV/atom
Excess energy over the best structure of this formula in the dataset = 38 meV per atom
SG = P2_1/c
E = -6.286 eV/atom

```
Ac3TbS6
1.0
7.153 0.000 -0.111
0.000 7.689 0.000
-0.075 0.000 10.555
Ac S Tb
6 12 2
direct
0.466 0.082 0.252 Ac
0.000 0.000 0.500 Ac
0.534 0.918 0.748 Ac
0.500 0.500 0.000 Ac
0.966 0.418 0.752 Ac
0.034 0.582 0.248 Ac
0.697 0.185 0.923 S
0.676 0.199 0.578 S
0.176 0.301 0.078 S
0.803 0.685 0.577 S
0.147 0.064 0.762 S
0.824 0.699 0.922 S
0.303 0.815 0.077 S
0.353 0.564 0.738 S
0.647 0.436 0.262 S
0.324 0.801 0.422 S
0.197 0.315 0.423 S
0.853 0.936 0.238 S
0.500 0.500 0.500 Tb
0.000 0.000 0.000 Tb
```